Entry 1:
A relaxed structure of Tm4PaAs5, computed with PBE.

The value obtained for the calculated density is 8.955 g/cm3. Its formation energy from the elements is -1.415 eV per atom. Its symmetry is I4/m.

Unit cell a=5.7565 b=7.0398 c=7.0398 alpha=80.38 beta=65.87 gamma=65.87
Last column: magnetic moment on the atom in μB.
Element x y z (fractional)
Tm1 0.1991 0.2020 0.4017  0.01
Tm2 0.4011 0.4017 0.7980  0.01
Tm3 0.8028 0.7980 0.5983  0.01
Tm4 0.6008 0.5983 0.2020  0.01
As1 0.2996 0.8006 0.6022  0.00
As2 0.5012 0.0000 0.0000  -0.01
As3 0.9018 0.3978 0.8006  0.00
As4 0.7024 0.1994 0.3978  0.00
As5 0.1002 0.6022 0.1994  0.00
Pa1 0.0012 0.0000 0.0000  0.25

---

Entry 2:
A relaxed structure of BaReHg2, computed with PBE.

The value obtained for the calculated density is 10.978 g/cm3. Its formation energy from the elements is 0.937 eV per atom. The energy relative to the lowest polymorph listed for this composition comes out at 1.398 eV/f.u. Its symmetry is F-43m.

Unit cell a=5.3720 b=5.3720 c=5.3720 alpha=60.00 beta=60.00 gamma=60.00
Last column: magnetic moment on the atom in μB.
Element x y z (fractional)
Hg1 0.2500 0.2500 0.2500  0.00
Hg2 0.0000 0.0000 0.0000  -0.01
Ba1 0.5000 0.5000 0.5000  0.03
Re1 0.7500 0.7500 0.7500  2.71

---

Entry 3:
A relaxed structure of Ca2AsW, computed with PBE.

The value obtained for the calculated density is 5.494 g/cm3. Its formation energy from the elements is 0.117 eV per atom. Its symmetry is Amm2.

Unit cell a=4.2701 b=4.3060 c=5.9734 alpha=68.86 beta=90.00 gamma=90.00
Element x y z (fractional)
Ca1 0.5000 0.2739 0.3272
Ca2 0.0000 0.9777 0.9195
W1 0.0000 0.6796 0.5159
As1 0.5000 0.5688 0.7374